DFT (PBE-GGA) results for Cd2In2I after structural relaxation.

Properties
Its raw total energy is -6.12 eV per formula unit. The value obtained for the total magnetization is 0.000 μB/f.u. The volume comes out at 56.5 Å³ per atom. The value obtained for the density of states at the Fermi level is 3.35 states/eV/cell.

Unit cell a=6.6595 b=6.6595 c=6.3720 alpha=90.00 beta=90.00 gamma=90.00
With the nearest neighbours (Å) after each atom.
Atoms (fractional coordinates):
Cd (0.0000, 0.5000, 0.0000)  2 I 3.33
Cd (0.5000, 0.0000, 0.0000)  2 I 3.33
In (0.0000, 0.0000, 0.5000)  2 I 3.19
In (0.5000, 0.5000, 0.5000)  8 Cd 4.61, 4 In 4.71
I (0.0000, 0.0000, 0.0000)  2 In 3.19, 4 Cd 3.33